# 1
The following is a GGA-PBE calculation of HoSc4Tl after structural relaxation, from Alexandria.

Unit cell a=4.9202 b=18.4862 c=6.8586 alpha=90.00 beta=90.00 gamma=90.00
Last column: nearest neighbours and their distance in Å.
Space group Cmcm (No. 63)
Inequivalent atoms, fractional coordinates:
1 Ho 0.0000 0.1184 0.2500 (multiplicity 4)  7 Sc 3.25-3.57
2 Sc 0.0000 0.0642 0.7500 (multiplicity 4)  1 Tl 2.88, 4 Sc 3.23
3 Sc 0.0000 0.3341 0.0325 (multiplicity 8)  3 Tl 2.86-3.05, 2 Sc 2.98-3.08
4 Sc 0.0000 0.5000 0.0000 (multiplicity 4)  8 Sc 3.08-3.43
5 Tl 0.0000 0.2202 0.7500 (multiplicity 4)  7 Sc 2.86-3.05

V (Å³ per atom): 25.99
DFT formation energy (eV/f.u.): 0.0
E_tot (eV/atom): -5.37
Polymorph energy (0 for the lowest one) (meV/atom): 89

***

# 2
The following is a GGA-PBE calculation of HoSc8Tl2 after structural relaxation, from Alexandria.

Unit cell a=8.2794 b=14.3428 c=5.3010 alpha=90.00 beta=117.68 gamma=90.00
Last column: nearest neighbours and their distance in Å.
Space group C2/m (No. 12)
Inequivalent atoms, fractional coordinates:
1 Ho 0.0000 0.0000 0.0000 (multiplicity 2)  8 Sc 3.07-3.41
2 Sc 0.0000 0.2143 0.0000 (multiplicity 4)  2 Tl 2.97, 1 Ho 3.07
3 Sc 0.0813 0.5000 0.7935 (multiplicity 4)  2 Sc 2.76-3.06
4 Sc 0.2100 0.1134 0.6370 (multiplicity 8)  2 Tl 3.03-3.18, 6 Sc 3.08-3.36
5 Tl 0.0000 0.3072 0.5000 (multiplicity 4)  8 Sc 2.97-3.18

V (Å³ per atom): 25.34
DFT formation energy (eV/f.u.): 0.3
E_tot (eV/atom): -5.43

***

# 3
The following is a GGA-PBE calculation of Ho8Sc2Tl after structural relaxation, from Alexandria.

Unit cell a=17.5001 b=4.8715 c=7.7554 alpha=90.00 beta=106.07 gamma=90.00
Last column: nearest neighbours and their distance in Å.
Space group C2/m (No. 12)
Inequivalent atoms, fractional coordinates:
1 Ho 0.0466 0.0000 0.2229 (multiplicity 4)  1 Sc 3.36, 9 Ho 3.39-3.50, 2 Tl 3.49
2 Ho 0.0944 0.5000 0.9487 (multiplicity 4)  3 Sc 3.37-3.41, 8 Ho 3.40-3.61, 1 Tl 3.41
3 Ho 0.1383 0.0000 0.6860 (multiplicity 4)  3 Sc 3.38-3.44, 7 Ho 3.40-3.50, 2 Tl 3.45
4 Ho 0.1823 0.5000 0.4127 (multiplicity 4)  8 Ho 3.41-3.50, 1 Tl 3.44, 3 Sc 3.44-3.47
5 Sc 0.2241 0.0000 0.1339 (multiplicity 4)  10 Ho 3.36-3.47, 2 Sc 3.48
6 Tl 0.0000 0.5000 0.5000 (multiplicity 2)  12 Ho 3.41-3.49

V (Å³ per atom): 28.88
DFT formation energy (eV/f.u.): -0.3
E_tot (eV/atom): -4.72

***

# 4
The following is a GGA-PBE calculation of Ho2ScTl9 after structural relaxation, from Alexandria.

Unit cell a=4.7350 b=4.7350 c=14.1907 alpha=90.00 beta=90.00 gamma=90.00
Last column: nearest neighbours and their distance in Å.
Space group P4/mmm (No. 123)
Inequivalent atoms, fractional coordinates:
1 Ho 0.0000 0.0000 0.1693 (multiplicity 2)  12 Tl 3.35-3.37
2 Sc 0.0000 0.0000 0.5000 (multiplicity 1)  12 Tl 3.30-3.35
3 Tl 0.0000 0.5000 0.0000 (multiplicity 2)  8 Tl 3.35-3.36, 4 Ho 3.37
4 Tl 0.0000 0.5000 0.3377 (multiplicity 4)  8 Tl 3.30-3.38, 2 Sc 3.30, 2 Ho 3.36
5 Tl 0.5000 0.5000 0.1681 (multiplicity 2)  4 Ho 3.35, 8 Tl 3.36-3.38
6 Tl 0.5000 0.5000 0.5000 (multiplicity 1)  8 Tl 3.30, 4 Sc 3.35

V (Å³ per atom): 26.51
DFT formation energy (eV/f.u.): -2.1
E_tot (eV/atom): -3.24

***

# 5
The following is a GGA-PBE calculation of Ho5Sc2Tl after structural relaxation, from Alexandria.

Unit cell a=8.5032 b=8.5032 c=12.6089 alpha=90.00 beta=90.00 gamma=90.00
Last column: nearest neighbours and their distance in Å.
Space group I4/mcm (No. 140)
Inequivalent atoms, fractional coordinates:
1 Ho 0.0000 0.0000 0.0000 (multiplicity 4)  2 Tl 3.15, 4 Sc 3.28
2 Ho 0.1521 0.3479 0.1594 (multiplicity 16)  3 Sc 3.20, 3 Ho 3.28-3.45, 2 Tl 3.42
3 Sc 0.1406 0.3594 0.5000 (multiplicity 8)  8 Ho 3.20-3.28, 1 Sc 3.38
4 Tl 0.0000 0.0000 0.2500 (multiplicity 4)  10 Ho 3.15-3.42

V (Å³ per atom): 28.49
DFT formation energy (eV/f.u.): 0.3
E_tot (eV/atom): -4.71

***

# 6
The following is a GGA-PBE calculation of HoSc3Tl4 after structural relaxation, from Alexandria.

Unit cell a=10.3790 b=7.2388 c=5.1897 alpha=90.00 beta=90.00 gamma=90.00
Last column: nearest neighbours and their distance in Å.
Space group Pmma (No. 51)
Inequivalent atoms, fractional coordinates:
1 Ho 0.0000 0.0000 0.0000 (multiplicity 2)  8 Tl 3.19
2 Sc 0.0000 0.5000 0.0000 (multiplicity 2)  8 Tl 3.13
3 Sc 0.2500 0.0000 0.4988 (multiplicity 2)  8 Tl 3.19-3.20
4 Sc 0.2500 0.5000 0.4982 (multiplicity 2)  8 Tl 3.13
5 Tl 0.0000 0.2574 0.5000 (multiplicity 4)  6 Sc 3.13-3.19, 2 Ho 3.19
6 Tl 0.2500 0.2574 0.9983 (multiplicity 4)  6 Sc 3.13-3.20, 2 Ho 3.19

V (Å³ per atom): 24.37
DFT formation energy (eV/f.u.): -2.1
E_tot (eV/atom): -4.40

***

# 7
The following is a GGA-PBE calculation of Ho2Sc6Tl after structural relaxation, from Alexandria.

Unit cell a=3.2921 b=9.5931 c=14.8627 alpha=90.00 beta=90.00 gamma=90.00
Last column: nearest neighbours and their distance in Å.
Space group Immm (No. 71)
Inequivalent atoms, fractional coordinates:
1 Ho 0.0000 0.0000 0.1483 (multiplicity 4)  10 Sc 3.26-3.43, 2 Ho 3.29
2 Sc 0.0000 0.2896 0.5000 (multiplicity 4)  2 Tl 3.23, 6 Sc 3.29-3.36, 4 Ho 3.41
3 Sc 0.0000 0.3365 0.1791 (multiplicity 8)  1 Tl 3.09, 7 Sc 3.14-3.36, 3 Ho 3.26-3.43
4 Tl 0.0000 0.5000 0.0000 (multiplicity 2)  8 Sc 3.09-3.23, 2 Tl 3.29

V (Å³ per atom): 26.08
DFT formation energy (eV/f.u.): 0.2
E_tot (eV/atom): -5.47

***

# 8
The following is a GGA-PBE calculation of Ho12Sc6Tl after structural relaxation, from Alexandria.

Unit cell a=11.4366 b=11.4366 c=14.6779 alpha=90.00 beta=90.00 gamma=120.00
Last column: nearest neighbours and their distance in Å.
Space group R-3 (No. 148, hexagonal axes)
Inequivalent atoms, fractional coordinates:
1 Ho 0.0115 0.8260 0.3164 (multiplicity 18)  4 Sc 3.29-3.60, 1 Tl 3.39, 5 Ho 3.42-3.57
2 Ho 0.0475 0.2011 0.9128 (multiplicity 18)  3 Sc 3.20-3.41, 4 Ho 3.30-3.52
3 Sc 0.0286 0.5925 0.1919 (multiplicity 18)  1 Tl 3.17, 6 Ho 3.20-3.41, 2 Sc 3.23
4 Tl 0.0000 0.0000 0.5000 (multiplicity 3)  6 Sc 3.17, 6 Ho 3.39

V (Å³ per atom): 29.17
DFT formation energy (eV/f.u.): 1.7
E_tot (eV/atom): -4.93

***

# 9
The following is a GGA-PBE calculation of Ho5Sc5Tl2 after structural relaxation, from Alexandria.

Unit cell a=5.2135 b=5.2135 c=41.9112 alpha=90.00 beta=90.00 gamma=120.00
Last column: nearest neighbours and their distance in Å.
Space group R-3m (No. 166, hexagonal axes)
Inequivalent atoms, fractional coordinates:
1 Ho 0.0000 0.0000 0.0000 (multiplicity 3)  6 Sc 3.12
2 Ho 0.0000 0.0000 0.1890 (multiplicity 6)  7 Sc 3.15-3.45
3 Ho 0.0000 0.0000 0.2758 (multiplicity 6)  4 Sc 3.25-3.40, 3 Tl 3.37, 1 Ho 3.63
4 Sc 0.0000 0.0000 0.1066 (multiplicity 6)  3 Tl 3.06, 3 Ho 3.40
5 Sc 0.0000 0.0000 0.3533 (multiplicity 6)  1 Tl 3.08, 7 Ho 3.12-3.40, 3 Sc 3.44
6 Sc 0.0000 0.0000 0.5000 (multiplicity 3)  2 Tl 3.06, 6 Ho 3.15
7 Tl 0.0000 0.0000 0.4269 (multiplicity 6)  5 Sc 3.06-3.08, 3 Ho 3.37

V (Å³ per atom): 27.40
DFT formation energy (eV/f.u.): -0.1
E_tot (eV/atom): -4.95

***

# 10
The following is a GGA-PBE calculation of Ho4ScTl after structural relaxation, from Alexandria.

Unit cell a=12.5776 b=3.4716 c=9.2761 alpha=90.00 beta=119.63 gamma=90.00
Last column: nearest neighbours and their distance in Å.
Space group Cm (No. 8)
Inequivalent atoms, fractional coordinates:
1 Ho 0.0000 0.0000 0.0000 (multiplicity 2)  1 Tl 3.35, 3 Sc 3.38-3.41, 8 Ho 3.47-3.60
2 Ho 0.0131 0.5000 0.3480 (multiplicity 2)  2 Tl 3.28, 1 Sc 3.35, 9 Ho 3.37-3.60
3 Ho 0.2564 0.5000 0.2880 (multiplicity 2)  1 Tl 3.35, 9 Ho 3.37-3.51, 2 Sc 3.41
4 Ho 0.2847 0.0000 0.6342 (multiplicity 2)  1 Sc 3.31, 3 Tl 3.35-3.43, 8 Ho 3.47-3.57
5 Sc 0.2611 0.0000 0.9746 (multiplicity 2)  1 Tl 3.04, 4 Ho 3.31-3.38
6 Tl 0.0185 0.0000 0.6516 (multiplicity 2)  1 Sc 3.04, 6 Ho 3.28-3.35

V (Å³ per atom): 29.34
DFT formation energy (eV/f.u.): -0.2
E_tot (eV/atom): -4.54
Polymorph energy (0 for the lowest one) (meV/atom): 0

***

# 11
The following is a GGA-PBE calculation of Ho3Sc2Tl2 after structural relaxation, from Alexandria.

Unit cell a=5.2548 b=5.2548 c=23.3215 alpha=90.00 beta=90.00 gamma=120.00
Last column: nearest neighbours and their distance in Å.
Space group R-3m (No. 166, hexagonal axes)
Inequivalent atoms, fractional coordinates:
1 Ho 0.0000 0.0000 0.0000 (multiplicity 3)  6 Tl 3.24, 2 Ho 3.58
2 Ho 0.0000 0.0000 0.1537 (multiplicity 6)  1 Tl 3.04, 3 Ho 3.09, 3 Sc 3.33
3 Sc 0.0000 0.0000 0.4286 (multiplicity 6)  4 Tl 3.22-3.37, 3 Ho 3.33, 1 Sc 3.33
4 Tl 0.0000 0.0000 0.2840 (multiplicity 6)  4 Ho 3.04-3.24, 4 Sc 3.22-3.37

V (Å³ per atom): 26.55
DFT formation energy (eV/f.u.): -1.1
E_tot (eV/atom): -4.61
Polymorph energy (0 for the lowest one) (meV/atom): 0

***

# 12
The following is a GGA-PBE calculation of Ho3Sc5Tl2 after structural relaxation, from Alexandria.

Unit cell a=7.8221 b=21.1853 c=6.4343 alpha=90.00 beta=90.00 gamma=90.00
Last column: nearest neighbours and their distance in Å.
Space group Ibam (No. 72)
Inequivalent atoms, fractional coordinates:
1 Ho 0.0000 0.0000 0.2500 (multiplicity 4)  4 Tl 3.18, 2 Ho 3.22, 2 Sc 3.55
2 Ho 0.1619 0.3726 0.0000 (multiplicity 8)  6 Sc 3.21-3.40, 3 Tl 3.23-3.39
3 Sc 0.0000 0.1674 0.2500 (multiplicity 8)  6 Sc 3.12-3.22, 2 Tl 3.15, 2 Ho 3.21
4 Sc 0.0000 0.5000 0.2500 (multiplicity 4)  4 Tl 3.03, 2 Sc 3.22, 4 Ho 3.39
5 Sc 0.1820 0.2741 0.5000 (multiplicity 8)  1 Tl 3.01, 4 Sc 3.12-3.21, 1 Ho 3.34
6 Tl 0.2347 0.4151 0.5000 (multiplicity 8)  5 Sc 3.01-3.15, 3 Ho 3.18-3.23

V (Å³ per atom): 26.66
DFT formation energy (eV/f.u.): -0.5
E_tot (eV/atom): -5.06

***

| no. | magnetic moment (μB per cell) | mass density (kg/m³) |
| --- | --- | --- |
| 1 | 1.89 | 5847 |
| 2 | 0.00 | 5560 |
| 3 | 0.00 | 8436 |
| 4 | 0.00 | 11557 |
| 5 | 0.02 | 8152 |
| 6 | 0.00 | 9517 |
| 7 | 0.00 | 5688 |
| 8 | 0.03 | 7351 |
| 9 | 0.00 | 7364 |
| 10 | 0.00 | 8575 |
| 11 | 0.00 | 8875 |
| 12 | 0.00 | 7029 |